Record 1
The following is a DFT calculation (GGA-PBE) of Nd8Ir3SeI3 after structural relaxation.

```
Nd8Ir3SeI3
1.0
-7.210 -3.945 -2.413
7.604 -3.564 -1.691
-2.903 -0.031 8.724
Nd Ir Se I
8 3 1 3
direct
0.270 0.540 0.312
0.730 0.460 0.688
0.756 0.512 0.303
0.244 0.488 0.697
0.756 0.047 0.303
0.244 0.953 0.697
0.291 0.047 0.303
0.709 0.953 0.697
0.500 0.000 0.500
0.500 0.500 0.500
0.000 0.500 0.500
0.000 0.000 0.500
0.000 0.000 0.000
0.000 0.500 0.000
0.500 0.500 0.000
```

- energy (hartree per atom) = -0.2128
- SG = R-3m (166)

---

Record 2
The following is a DFT calculation (GGA-PBE) of AcPmTlZn after structural relaxation.

```
AcPmTlZn
1.0
-2.429 -1.917 4.604
-4.505 -3.216 -0.373
0.327 -5.390 1.270
Zn Ac Tl Pm
1 1 1 1
direct
0.500 0.500 0.500
0.750 0.750 0.750
0.000 0.000 0.000
0.250 0.250 0.250
```

- energy relative to the lowest polymorph listed for this composition (eV/atom) = 0.038
- DFT formation energy (meV per atom) = -279
- SG = F-43m (216)

---

Record 3
The following is a DFT calculation (GGA-PBE) of KTaHg after structural relaxation.

```
KTaHg
1.0
-1.275 -0.628 2.729
3.023 0.540 -0.198
-1.452 8.600 1.301
Hg K Ta
1 1 1
direct
0.000 0.000 0.980
0.667 0.333 0.325
0.333 0.667 0.695
```

- energy relative to the lowest polymorph listed for this composition (eV/atom) = 0.491
- DFT formation energy (meV per atom) = 778
- SG = P3m1 (156)

---

Record 4
The following is a DFT calculation (GGA-PBE) of Tb3PuTl3S8 after structural relaxation.

```
Tb3PuTl3S8
1.0
8.057 0.000 0.000
-4.028 6.978 -0.028
0.000 -4.623 7.582
Tb Pu Tl S
3 1 3 8
direct
0.500 0.000 0.500
0.500 0.500 0.500
0.000 0.500 0.500
0.000 0.000 0.500
0.000 0.000 0.000
0.000 0.500 0.000
0.500 0.500 0.000
0.267 0.535 0.302
0.733 0.465 0.698
0.773 0.546 0.307
0.227 0.454 0.693
0.773 0.034 0.307
0.227 0.966 0.693
0.261 0.034 0.307
0.739 0.966 0.693
```

- energy (hartree per atom) = -0.2212
- SG = R-3m (166)

---

Record 5
The following is a DFT calculation (GGA-PBE) of TlReOs after structural relaxation.

```
TlReOs
1.0
4.548 0.000 0.000
-2.274 3.938 0.000
0.000 0.000 2.849
Os Re Tl
1 1 1
direct
0.000 0.000 0.834
0.667 0.333 0.334
0.333 0.667 0.832
```

- DFT formation energy (meV per atom) = 1132
- SG = P-6m2 (187)

---

Record 6
The following is a DFT calculation (GGA-PBE) of LiMgCdHg4 after structural relaxation.

```
LiMgCdHg4
1.0
-4.895 -2.289 2.731
1.988 -5.829 -1.322
7.311 0.878 7.127
Li Mg Cd Hg
2 2 2 8
direct
0.640 0.750 0.280
0.360 0.250 0.720
0.144 0.250 0.289
0.856 0.750 0.711
0.142 0.750 0.285
0.858 0.250 0.715
0.003 0.250 0.006
0.392 0.750 0.785
0.997 0.750 0.994
0.608 0.250 0.215
0.500 0.500 0.500
0.000 0.000 0.500
0.500 0.000 0.500
0.000 0.500 0.500
```

- DFT formation energy (meV per atom) = -53
- SG = Cmcm (63)

---

Record 7
The following is a DFT calculation (GGA-PBE) of La2HgRh after structural relaxation.

```
La2HgRh
1.0
3.745 0.000 0.000
0.000 3.745 0.000
0.000 0.000 7.141
La Hg Rh
2 1 1
direct
0.000 0.000 0.987
0.500 0.500 0.297
0.500 0.500 0.728
0.000 0.000 0.488
```

- DFT formation energy (meV per atom) = -296
- SG = P4mm (99)

---

Record 8
The following is a DFT calculation (GGA-PBE) of NiP3 after structural relaxation.

```
NiP3
1.0
-1.761 -1.753 2.843
3.291 -0.362 1.815
-0.570 3.324 1.696
Ni P
1 3
direct
0.000 0.000 0.000
0.000 0.500 0.500
0.500 0.000 0.500
0.500 0.500 0.000
```

- energy relative to the lowest polymorph listed for this composition (eV/atom) = 0.873
- DFT formation energy (meV per atom) = 572
- SG = Pm-3m (221)

---

Record 9
The following is a DFT calculation (GGA-PBE) of Re2TeW after structural relaxation.

```
Re2TeW
1.0
-0.949 2.752 -0.741
-2.197 -1.587 -3.081
-4.350 -0.583 3.402
Re Te W
2 1 1
direct
0.000 0.000 0.019
0.500 0.500 0.211
0.000 0.000 0.507
0.500 0.500 0.763
```

- energy (hartree per atom) = -0.3512
- SG = Pmm2 (25)

---

Record 10
The following is a DFT calculation (GGA-PBE) of AgPOs2 after structural relaxation.

```
AgPOs2
1.0
-4.190 0.433 -0.963
-0.889 -3.569 2.268
-0.404 1.705 2.525
Ag Os P
1 2 1
direct
0.000 0.500 0.500
0.000 0.000 0.000
0.500 0.500 0.000
0.500 0.000 0.500
```

- DFT formation energy (meV per atom) = 791
- SG = P4/mmm (123)

---

Record 11
The following is a DFT calculation (GGA-PBE) of Pm2Pr3Hg after structural relaxation.

```
Pm2Pr3Hg
1.0
-0.120 1.382 3.565
-5.711 -0.644 0.057
3.838 -8.102 3.270
Pm Pr Hg
2 3 1
direct
0.500 0.859 0.717
0.500 0.141 0.283
0.000 0.684 0.369
0.000 0.316 0.631
0.500 0.500 0.000
0.000 0.000 0.000
```

- energy relative to the lowest polymorph listed for this composition (eV/atom) = 0.000
- DFT formation energy (meV per atom) = -140
- SG = Cmmm (65)

---

Record 12
The following is a DFT calculation (GGA-PBE) of LaAlCd after structural relaxation.

```
LaAlCd
1.0
6.145 -0.010 0.009
1.163 6.034 0.009
1.919 1.582 4.174
La Al Cd
2 2 2
direct
0.431 0.163 0.323
0.001 0.734 0.252
0.993 0.348 0.950
0.615 0.725 0.950
0.834 0.159 0.623
0.427 0.566 0.623
```

- DFT formation energy (meV per atom) = -406
- SG = Imm2 (44)

---

Record 13
The following is a DFT calculation (GGA-PBE) of HoTmMg2 after structural relaxation.

```
HoTmMg2
1.0
5.324 0.000 0.000
2.662 4.611 0.000
2.662 1.537 4.347
Mg Tm Ho
2 1 1
direct
0.250 0.250 0.250
0.750 0.750 0.750
0.000 0.000 0.000
0.500 0.500 0.500
```

- DFT formation energy (meV per atom) = -70
- SG = Fm-3m (225)

---

Record 14
The following is a DFT calculation (GGA-PBE) of LaPd2Au4 after structural relaxation.

```
LaPd2Au4
1.0
6.423 -1.044 0.000
-3.549 5.455 0.000
-1.437 -2.205 5.951
La Pd Au
1 2 4
direct
0.000 0.000 0.000
0.250 0.750 0.500
0.750 0.250 0.500
0.727 0.500 0.227
0.500 0.727 0.227
0.500 0.273 0.773
0.273 0.500 0.773
```

- energy relative to the lowest polymorph listed for this composition (eV/atom) = 0.533
- DFT formation energy (meV per atom) = 15
- SG = I4/mmm (139)

---

Record 15
The following is a DFT calculation (GGA-PBE) of HoTm2Te3 after structural relaxation.

```
HoTm2Te3
1.0
6.464 0.000 3.096
2.491 5.965 3.096
-0.209 -0.139 8.734
Ho Tm Te
2 4 6
direct
0.500 0.500 0.500
0.000 0.000 0.000
0.166 0.166 0.501
0.334 0.334 0.999
0.834 0.834 0.499
0.666 0.666 0.001
0.919 0.581 0.250
0.250 0.919 0.250
0.750 0.081 0.750
0.419 0.750 0.750
0.081 0.419 0.750
0.581 0.250 0.250
```

- energy relative to the lowest polymorph listed for this composition (eV/atom) = 0.000
- SG = R-3c (167)

---

Record 16
The following is a DFT calculation (GGA-PBE) of KCa3C4O12 after structural relaxation.

```
KCa3C4O12
1.0
-4.961 -1.199 -4.330
-0.655 -5.203 4.160
-2.675 4.914 3.674
K Ca C O
1 3 4 12
direct
0.000 0.000 0.000
0.538 0.462 0.000
0.462 0.000 0.538
0.000 0.538 0.462
0.964 0.036 0.500
0.036 0.500 0.964
0.500 0.964 0.036
0.500 0.500 0.500
0.500 0.374 0.626
0.909 0.500 0.091
0.091 0.909 0.500
0.500 0.091 0.909
0.404 0.991 0.184
0.184 0.404 0.991
0.991 0.184 0.404
0.596 0.816 0.009
0.009 0.596 0.816
0.816 0.009 0.596
0.626 0.500 0.374
0.374 0.626 0.500
```

- energy (hartree per atom) = -0.2655
- SG = R32 (155)

---

Record 17
The following is a DFT calculation (GGA-PBE) of HfHRh3 after structural relaxation.

```
HfHRh3
1.0
4.671 0.000 0.000
0.000 4.671 0.000
2.335 2.335 9.138
Rh Hf H
6 2 2
direct
0.122 0.877 0.246
0.123 0.878 0.754
0.123 0.368 0.754
0.632 0.877 0.246
0.355 0.355 0.291
0.645 0.645 0.709
0.000 0.000 0.000
0.250 0.750 0.500
0.636 0.136 0.729
0.864 0.364 0.271
```

- energy relative to the lowest polymorph listed for this composition (eV/atom) = 1.408
- SG = I-4m2 (119)

---

Record 18
The following is a DFT calculation (GGA-PBE) of CsHg2GeSe after structural relaxation.

```
CsHg2GeSe
1.0
5.530 0.000 0.000
0.000 5.530 0.000
0.000 0.000 5.465
Cs Ge Hg Se
1 1 2 1
direct
0.500 0.500 0.500
0.000 0.000 0.000
0.000 0.500 0.000
0.500 0.000 0.000
0.000 0.000 0.500
```

- energy (hartree per atom) = -0.0801
- SG = P4/mmm (123)

---

Record 19
The following is a DFT calculation (GGA-PBE) of Mg4HIr2 after structural relaxation.

```
Mg4HIr2
1.0
-3.816 -2.506 -0.857
2.906 -4.884 1.344
-1.526 0.297 4.378
Mg H Ir
4 1 2
direct
0.410 0.716 0.254
0.416 0.216 0.322
0.858 0.216 0.765
0.927 0.716 0.771
0.038 0.216 0.142
0.907 0.483 0.274
0.907 0.949 0.274
```

- energy relative to the lowest polymorph listed for this composition (eV/atom) = 0.026
- SG = Amm2 (38)

---

Record 20
The following is a DFT calculation (GGA-PBE) of TbPtRhPb after structural relaxation.

```
TbPtRhPb
1.0
4.841 0.000 0.000
2.420 4.192 0.000
2.420 1.397 3.953
Pb Rh Tb Pt
1 1 1 1
direct
0.000 0.000 0.000
0.250 0.250 0.250
0.500 0.500 0.500
0.750 0.750 0.750
```

- DFT formation energy (meV per atom) = -595
- SG = F-43m (216)

---

| no. | total magnetization (μB/atom) |
| --- | --- |
| 1 | 0.000 |
| 2 | 0.000 |
| 3 | 0.000 |
| 4 | 0.267 |
| 5 | 0.000 |
| 6 | 0.000 |
| 7 | 0.000 |
| 8 | 0.000 |
| 9 | 0.000 |
| 10 | 0.000 |
| 11 | 0.000 |
| 12 | 0.000 |
| 13 | 0.000 |
| 14 | 0.000 |
| 15 | 0.000 |
| 16 | 0.055 |
| 17 | 0.000 |
| 18 | 0.000 |
| 19 | 0.000 |
| 20 | 0.000 |